Entry 1:
First-principles (GGA-PBE) data for an optimized crystal structure of La2ErHg4, as listed in Alexandria.

Calculated values
* ΔE to the lowest computed polymorph: 0 meV per atom
* formation energy from the elements: -370 meV per atom

extended XYZ file:
```
7
Lattice="4.8383 0.0000 1.5116 2.1830 4.3178 1.5116 -0.4986 -0.3066 10.0948" Properties=species:S:1:pos:R:3 pbc="T T T"
La 4.9307 3.0322 9.7147
Hg 4.4034 2.7079 2.9035
Hg 0.6460 0.3973 6.4312
Er 0.0000 0.0000 0.0000
Hg 2.1193 1.3033 10.2145
Hg 5.8767 3.6139 6.6868
La 1.5920 0.9790 3.4033
```

---

Entry 2:
First-principles (GGA-PBE) data for an optimized crystal structure of LiLaEr2Hg4, as listed in Alexandria.

Calculated values
* formation energy from the elements: -438 meV per atom

extended XYZ file:
```
8
Lattice="-2.8006 -0.3513 -4.2775 1.5951 -2.9545 -3.8717 -4.8178 -8.0194 0.7430" Properties=species:S:1:pos:R:3 pbc="T T T"
Er -1.6142 -3.0011 -1.7666
Hg -4.5038 -8.0000 -2.5342
Hg -2.8968 -5.9551 -6.8242
La 0.0000 0.0000 0.0000
Er -4.4092 -8.3241 -5.6395
Hg -1.5196 -3.3252 -4.8720
Hg -3.1266 -5.3701 -0.5819
Li -3.0117 -5.6626 -3.7031
```